Material: YPb2Br
Method: DFT, PBE
State: relaxed

Lattice parameters (Å, degrees): 5.8368 5.8368 3.5314 90.00 90.00 106.67
Fractional positions:
Y: 0.0000 0.0000 0.0000
Pb: 0.0000 0.5000 0.5000
Pb: 0.5000 0.0000 0.5000
Br: 0.5000 0.5000 0.0000

Values from the calculation:
The energy above the most stable polymorph in this dataset is 0.2057 eV per atom. For the uncorrected formation energy, the calculation gives -0.378 eV per atom.